# 1
AcSm6Y4: relaxed, PBE.

a b c (Å): 7.805 7.805 8.630
angles (deg): 116.88 116.88 90.00
Atoms (fractional coordinates):
Ac 0.500 0.500 0.000
Sm 0.936 0.443 0.379
Sm 0.443 0.936 0.379
Sm 0.557 0.557 0.621
Sm 0.000 0.500 0.000
Sm 0.064 0.064 0.621
Sm 0.500 0.000 0.000
Y 0.085 0.760 0.845
Y 0.915 0.915 0.155
Y 0.760 0.085 0.845
Y 0.240 0.240 0.155

Computed properties:
- ΔE_f (eV/atom) = 0.391
- calculated density (g/cm³) = 6.10
- polymorph energy (0 for the lowest one) (meV per atom) = 261
- symmetry = No. 121
- calculated volume (A^3/atom) = 36.74
- magnetization (μB/f.u.) = 0.000

=====

# 2
TaMn2N3: relaxed, PBE.

a b c (Å): 6.076 6.076 4.154
angles (deg): 90.00 90.00 116.58
Last column: magnetic moment on the atom in μB.
Atoms (fractional coordinates):
Ta 0.313 0.313 0.569  -0.05
Ta 0.687 0.687 0.069  -0.05
Mn 0.680 0.013 0.569  3.12
Mn 0.013 0.680 0.569  3.12
Mn 0.320 0.987 0.069  3.12
Mn 0.987 0.320 0.069  3.12
N 0.671 0.011 0.069  0.02
N 0.011 0.671 0.069  0.02
N 0.329 0.989 0.569  0.02
N 0.989 0.329 0.569  0.02
N 0.357 0.357 0.069  0.04
N 0.643 0.643 0.569  0.04

Computed properties:
- calculated density (g/cm³) = 8.06
- polymorph energy (0 for the lowest one) (meV per atom) = 0
- E_form (uncorrected) (eV/atom) = -0.5054
- symmetry = No. 63
- calculated volume (A^3/atom) = 11.43
- magnetization (μB/f.u.) = 6.560

=====

# 3
LiZrTi2Re: relaxed, PBE.

a b c (Å): 4.816 5.133 4.816
angles (deg): 90.00 90.00 90.00
Last column: magnetic moment on the atom in μB.
Atoms (fractional coordinates):
Re 0.000 0.000 0.000  -0.10
Li 0.500 0.500 0.500  0.00
Zr 0.000 0.500 0.000  0.12
Ti 0.000 0.000 0.500  0.28
Ti 0.500 0.000 0.000  0.60

Computed properties:
- ΔE_f (eV/atom) = 0.597
- calculated density (g/cm³) = 5.30
- symmetry = No. 123
- calculated volume (A^3/atom) = 23.81
- magnetization (μB/f.u.) = 1.281

=====

Please write out number 1 again, unchanged.
AcSm6Y4: relaxed, PBE.

a b c (Å): 7.805 7.805 8.630
angles (deg): 116.88 116.88 90.00
Atoms (fractional coordinates):
Ac 0.500 0.500 0.000
Sm 0.936 0.443 0.379
Sm 0.443 0.936 0.379
Sm 0.557 0.557 0.621
Sm 0.000 0.500 0.000
Sm 0.064 0.064 0.621
Sm 0.500 0.000 0.000
Y 0.085 0.760 0.845
Y 0.915 0.915 0.155
Y 0.760 0.085 0.845
Y 0.240 0.240 0.155

Computed properties:
- ΔE_f (eV/atom) = 0.391
- calculated density (g/cm³) = 6.10
- polymorph energy (0 for the lowest one) (meV per atom) = 261
- symmetry = No. 121
- calculated volume (A^3/atom) = 36.74
- magnetization (μB/f.u.) = 0.000